# 1
A crystal of CrSb2Br relaxed with PBEsol. Source: the Alexandria database, functional meta-GGA SCAN.

Cell lengths 5.633, 5.633, 5.633 Å; angles 133.76, 133.76, 67.47 degrees
Positions (direct):
1 Cr 0.000 0.000 0.000
2 Sb 0.250 0.750 0.500
3 Sb 0.750 0.250 0.500
4 Br 0.500 0.500 0.000

Results
E, eV per atom: -27.778
Raw formation energy, eV/atom: 0.31
Space-group type: I4/mmm

=====

# 2
A crystal of CrSnSbBr2 relaxed with PBEsol. Source: the Alexandria database, functional meta-GGA SCAN.

Cell lengths 5.374, 5.374, 6.027 Å; angles 90.00, 90.00, 90.00 degrees
Positions (direct):
1 Cr 0.000 0.000 0.000
2 Sn 0.500 0.500 0.000
3 Sb 0.500 0.500 0.500
4 Br 0.000 0.500 0.500
5 Br 0.500 0.000 0.500

Results
E, eV per atom: -25.607
Raw formation energy, eV/atom: 0.49
Space-group type: P4/mmm

=====

# 3
A crystal of ScCrBr3 relaxed with PBEsol. Source: the Alexandria database, functional meta-GGA SCAN.

Cell lengths 5.075, 5.075, 5.075 Å; angles 90.00, 90.00, 90.00 degrees
Positions (direct):
1 Sc 0.000 0.000 0.000
2 Cr 0.500 0.500 0.500
3 Br 0.000 0.500 0.500
4 Br 0.500 0.000 0.500
5 Br 0.500 0.500 0.000

Results
E, eV per atom: -18.753
Raw formation energy, eV/atom: -0.55
Space-group type: Pm-3m

=====

# 4
A crystal of Sc2CrBr relaxed with PBEsol. Source: the Alexandria database, functional meta-GGA SCAN.

Cell lengths 8.413, 8.413, 8.413 Å; angles 22.61, 22.61, 22.61 degrees
Positions (direct):
1 Sc 0.246 0.246 0.246
2 Sc 0.754 0.754 0.754
3 Cr 0.500 0.500 0.500
4 Br 0.000 0.000 0.000

Results
E, eV per atom: -16.913
Raw formation energy, eV/atom: -0.33
Polymorph energy (0 for the lowest one), meV per atom: 1.4
Space-group type: R-3m

=====

# 5
A crystal of ScCrBr2 relaxed with PBEsol. Source: the Alexandria database, functional meta-GGA SCAN.

Cell lengths 3.509, 3.509, 8.533 Å; angles 90.00, 90.00, 121.79 degrees
Positions (direct):
1 Sc 0.000 0.000 0.000
2 Cr 0.000 0.000 0.500
3 Br 0.500 0.500 0.256
4 Br 0.500 0.500 0.744

Results
E, eV per atom: -18.328
Raw formation energy, eV/atom: -0.44
Space-group type: Cmmm

=====

# 6
A crystal of ScCr3Br relaxed with PBEsol. Source: the Alexandria database, functional meta-GGA SCAN.

Cell lengths 4.797, 4.797, 4.797 Å; angles 90.00, 90.00, 90.00 degrees
Positions (direct):
1 Sc 0.000 0.000 0.000
2 Cr 0.000 0.000 0.500
3 Cr 0.000 0.500 0.000
4 Cr 0.500 0.000 0.000
5 Br 0.500 0.500 0.500

Results
E, eV per atom: -16.199
Raw formation energy, eV/atom: 1.57
Space-group type: Pm-3m

=====

# 7
A crystal of Sc2CrBr relaxed with PBEsol. Source: the Alexandria database, functional meta-GGA SCAN.

Cell lengths 4.832, 4.832, 4.832 Å; angles 60.00, 60.00, 60.00 degrees
Positions (direct):
1 Sc 0.250 0.250 0.250
2 Sc 0.750 0.750 0.750
3 Cr 0.000 0.000 0.000
4 Br 0.500 0.500 0.500

Results
E, eV per atom: -16.480
Raw formation energy, eV/atom: 0.10
Polymorph energy (0 for the lowest one), meV per atom: 434.2
Space-group type: Fm-3m

=====

# 8
A crystal of Sc2CrBr relaxed with PBEsol. Source: the Alexandria database, functional meta-GGA SCAN.

Cell lengths 3.219, 3.219, 7.501 Å; angles 90.00, 90.00, 90.00 degrees
Positions (direct):
1 Sc 0.000 0.000 0.211
2 Sc 0.000 0.000 0.789
3 Cr 0.500 0.500 0.000
4 Br 0.500 0.500 0.500

Results
E, eV per atom: -16.914
Raw formation energy, eV/atom: -0.33
Polymorph energy (0 for the lowest one), meV per atom: 0.0
Space-group type: P4/mmm

=====

# 9
A crystal of CrSe2Br relaxed with PBEsol. Source: the Alexandria database, functional meta-GGA SCAN.

Cell lengths 3.736, 3.736, 6.556 Å; angles 90.00, 90.00, 90.00 degrees
Positions (direct):
1 Cr 0.000 0.000 0.000
2 Se 0.000 0.500 0.500
3 Se 0.500 0.000 0.500
4 Br 0.500 0.500 0.000

Results
E, eV per atom: -19.592
Raw formation energy, eV/atom: -0.09
Space-group type: P4/mmm

=====

# 10
A crystal of Cr3SeBr relaxed with PBEsol. Source: the Alexandria database, functional meta-GGA SCAN.

Cell lengths 4.962, 4.962, 4.962 Å; angles 90.00, 90.00, 90.00 degrees
Positions (direct):
1 Cr 0.000 0.000 0.500
2 Cr 0.000 0.500 0.000
3 Cr 0.500 0.000 0.000
4 Se 0.000 0.000 0.000
5 Br 0.500 0.500 0.500

Results
E, eV per atom: -18.817
Raw formation energy, eV/atom: 0.12
Space-group type: Pm-3m

=====

# 11
A crystal of CrTcSeBr2 relaxed with PBEsol. Source: the Alexandria database, functional meta-GGA SCAN.

Cell lengths 5.140, 5.140, 4.639 Å; angles 90.00, 90.00, 90.00 degrees
Positions (direct):
1 Cr 0.000 0.000 0.000
2 Tc 0.500 0.500 0.500
3 Se 0.500 0.500 0.000
4 Br 0.000 0.500 0.500
5 Br 0.500 0.000 0.500

Results
E, eV per atom: -22.185
Raw formation energy, eV/atom: 0.30
Space-group type: P4/mmm

=====

# 12
A crystal of CrTeSeBr2 relaxed with PBEsol. Source: the Alexandria database, functional meta-GGA SCAN.

Cell lengths 4.838, 4.838, 5.113 Å; angles 90.00, 90.00, 90.00 degrees
Positions (direct):
1 Cr 0.000 0.000 0.000
2 Te 0.500 0.500 0.500
3 Se 0.000 0.000 0.500
4 Br 0.000 0.500 0.000
5 Br 0.500 0.000 0.000

Results
E, eV per atom: -23.048
Raw formation energy, eV/atom: -0.12
Space-group type: P4/mmm

=====

Please write out number 1 again, unchanged.
A crystal of CrSb2Br relaxed with PBEsol. Source: the Alexandria database, functional meta-GGA SCAN.

Cell lengths 5.633, 5.633, 5.633 Å; angles 133.76, 133.76, 67.47 degrees
Positions (direct):
1 Cr 0.000 0.000 0.000
2 Sb 0.250 0.750 0.500
3 Sb 0.750 0.250 0.500
4 Br 0.500 0.500 0.000

Results
E, eV per atom: -27.778
Raw formation energy, eV/atom: 0.31
Space-group type: I4/mmm